# 1
RbAs2Pd: optimized geometry, PBE-GGA.

Calculated values
For the formation energy from the elements, the calculation gives -0.138 eV/atom. The value obtained for the energy relative to the lowest polymorph listed for this composition is 181 meV per atom.

Lattice parameters (Å, degrees): 4.4274 4.4274 23.5387 90.00 90.00 120.00
Last column: nearest neighbours and their distance in Å.
Space group R-3m (No. 166, hexagonal axes)
One atom of each set of equivalent atoms:
Rb1 0.0000 0.0000 0.0000 [3 per cell]  2 As 3.34
As1 0.0000 0.0000 0.1418 [6 per cell]  3 Pd 2.62, 3 As 2.81
Pd1 0.0000 0.0000 0.5000 [3 per cell]  6 As 2.62

=====

# 2
Rb2As4Pd3: optimized geometry, PBE-GGA.

Calculated values
For the formation energy from the elements, the calculation gives -0.386 eV/atom. The value obtained for the energy relative to the lowest polymorph listed for this composition is 0 meV per atom.

Lattice parameters (Å, degrees): 6.9571 15.7525 4.8012 90.00 100.45 90.00
Last column: nearest neighbours and their distance in Å.
Space group P2_1/c (No. 14)
One atom of each set of equivalent atoms:
Rb1 0.1825 0.1168 0.0177 [4 per cell]  2 Pd 3.43-3.54, 4 As 3.55-3.63
As1 0.1883 0.5678 0.0871 [4 per cell]  1 As 2.41, 2 Pd 2.52
As2 0.3890 0.6423 0.8069 [4 per cell]  1 As 2.41, 3 Pd 2.45-2.50
Pd1 0.3374 0.7009 0.3259 [4 per cell]  4 As 2.45-2.74
Pd2 0.5000 0.0000 0.5000 [2 per cell]  4 As 2.49-2.52

=====

# 3
RbAsPdRh: optimized geometry, PBE-GGA.

Calculated values
For the formation energy from the elements, the calculation gives -0.286 eV/atom.

Lattice parameters (Å, degrees): 3.9423 3.9423 12.9277 90.00 90.00 90.00
Last column: nearest neighbours and their distance in Å.
Space group P4/nmm (No. 129, origin choice 2)
One atom of each set of equivalent atoms:
Rb1 0.2500 0.2500 0.2154 [2 per cell]  4 Pd 3.41, 4 As 3.58
As1 0.2500 0.2500 0.6107 [2 per cell]  4 Rh 2.44
Pd1 0.2500 0.7500 0.0000 [2 per cell]  4 Pd 2.79
Rh1 0.2500 0.7500 0.5000 [2 per cell]  4 As 2.44

=====

# 4
Rb2AsPdS4: optimized geometry, PBE-GGA.

Calculated values
Its uncorrected formation energy is -0.500 eV per atom.

Lattice parameters (Å, degrees): 6.5162 13.5834 22.2561 90.00 90.00 90.00
Last column: nearest neighbours and their distance in Å.
Space group Fddd (No. 70, origin choice 2)
One atom of each set of equivalent atoms:
Rb1 0.1250 0.1250 0.2985 [16 per cell]  6 S 3.42-3.76
As1 0.1250 0.1250 0.6250 [8 per cell]  4 S 2.22
Pd1 0.1250 0.1250 0.1250 [8 per cell]  4 S 2.48
S1 0.0963 0.2766 0.8291 [32 per cell]  1 As 2.22, 1 Pd 2.48

=====

# 5
Rb2Sb2As2Pd5: optimized geometry, PBE-GGA.

Calculated values
Its uncorrected formation energy is -0.207 eV per atom.

Lattice parameters (Å, degrees): 4.7204 4.7204 29.2288 90.00 90.00 90.00
Last column: nearest neighbours and their distance in Å.
Space group I4/mmm (No. 139)
One atom of each set of equivalent atoms:
Rb1 0.0000 0.0000 0.2044 [4 per cell]  1 As 3.61, 4 Sb 3.68, 4 Pd 3.69
Sb1 0.0000 0.0000 0.3485 [4 per cell]  4 Pd 2.69
As1 0.0000 0.0000 0.0810 [4 per cell]  5 Pd 2.37-2.48
Pd1 0.0000 0.0000 0.0000 [2 per cell]  2 As 2.37
Pd2 0.0000 0.5000 0.1075 [8 per cell]  2 As 2.48, 2 Sb 2.69

=====

# 6
RbAs2PdSe: optimized geometry, PBE-GGA.

Calculated values
The value obtained for the energy relative to the lowest polymorph listed for this composition is 0 meV per atom. Its uncorrected formation energy is 0.039 eV per atom.

Lattice parameters (Å, degrees): 4.9162 4.9162 5.5467 90.00 90.00 90.00
Last column: nearest neighbours and their distance in Å.
Space group P4/mmm (No. 123)
One atom of each set of equivalent atoms:
Rb1 0.0000 0.0000 0.0000 [1 per cell]  4 Se 3.48, 8 As 3.71
As1 0.0000 0.5000 0.5000 [2 per cell]  2 Pd 2.46
Pd1 0.5000 0.5000 0.5000 [1 per cell]  4 As 2.46
Se1 0.5000 0.5000 0.0000 [1 per cell]  2 Pd 2.77

=====

# 7
RbAs2PdSe: optimized geometry, PBE-GGA.

Calculated values
The value obtained for the energy relative to the lowest polymorph listed for this composition is 1755 meV per atom. Its uncorrected formation energy is 1.794 eV per atom.

Lattice parameters (Å, degrees): 5.5804 5.5804 5.6893 90.00 90.00 90.00
Last column: nearest neighbours and their distance in Å.
Space group P4/mmm (No. 123)
One atom of each set of equivalent atoms:
Rb1 0.0000 0.0000 0.0000 [1 per cell]  4 As 2.79, 2 Se 2.84
As1 0.0000 0.5000 0.0000 [2 per cell]  2 Rb 2.79
Pd1 0.5000 0.5000 0.5000 [1 per cell]  4 Se 3.95, 8 As 3.98
Se1 0.0000 0.0000 0.5000 [1 per cell]  2 Rb 2.84

=====

# 8
RbSmAs2Pd4: optimized geometry, PBE-GGA.

Calculated values
For the formation energy from the elements, the calculation gives -0.526 eV/atom.

Lattice parameters (Å, degrees): 4.1553 4.1553 11.1561 90.00 90.00 90.00
Last column: nearest neighbours and their distance in Å.
Space group P4/mmm (No. 123)
One atom of each set of equivalent atoms:
Rb1 0.0000 0.0000 0.0000 [1 per cell]  8 As 3.64, 8 Pd 4.04
Sm1 0.0000 0.0000 0.5000 [1 per cell]  8 Pd 2.96
As1 0.5000 0.5000 0.1924 [2 per cell]  4 Pd 2.46
Pd1 0.0000 0.5000 0.3108 [4 per cell]  2 As 2.46

=====

# 9
RbSnAsPd2: optimized geometry, PBE-GGA.

Calculated values
For the formation energy from the elements, the calculation gives 0.301 eV/atom.

Lattice parameters (Å, degrees): 4.8283 4.8283 5.9331 90.00 90.00 90.00
Last column: nearest neighbours and their distance in Å.
Space group P4/mmm (No. 123)
One atom of each set of equivalent atoms:
Rb1 0.0000 0.0000 0.0000 [1 per cell]  2 As 2.97
Sn1 0.5000 0.5000 0.0000 [1 per cell]  4 Rb 3.41
As1 0.0000 0.0000 0.5000 [1 per cell]  4 Pd 2.41
Pd1 0.0000 0.5000 0.5000 [2 per cell]  2 As 2.41

=====

# 10
RbSnAs2Pd4: optimized geometry, PBE-GGA.

Calculated values
For the formation energy from the elements, the calculation gives -0.427 eV/atom.

Lattice parameters (Å, degrees): 4.0677 4.0677 10.9814 90.00 90.00 90.00
Last column: nearest neighbours and their distance in Å.
Space group P4/mmm (No. 123)
One atom of each set of equivalent atoms:
Rb1 0.0000 0.0000 0.0000 [1 per cell]  8 As 3.61
Sn1 0.0000 0.0000 0.5000 [1 per cell]  8 Pd 2.76
As1 0.5000 0.5000 0.1990 [2 per cell]  4 Pd 2.49
Pd1 0.0000 0.5000 0.3302 [4 per cell]  2 As 2.49, 2 Sn 2.76

=====

# 11
Rb2TlAs2Pd: optimized geometry, PBE-GGA.

Calculated values
For the formation energy from the elements, the calculation gives -0.261 eV/atom.

Lattice parameters (Å, degrees): 7.4381 15.1539 6.8363 90.00 90.00 90.00
Last column: nearest neighbours and their distance in Å.
Space group Ibam (No. 72)
One atom of each set of equivalent atoms:
Rb1 0.2394 0.1740 0.0000 [8 per cell]  5 As 3.54-3.86, 2 Pd 3.61, 2 Tl 3.69
Tl1 0.0000 0.5000 0.2500 [4 per cell]  4 As 3.08, 2 Tl 3.42
As1 0.1958 0.0796 0.5000 [8 per cell]  2 Pd 2.55
Pd1 0.0000 0.0000 0.2500 [4 per cell]  4 As 2.55

=====

# 12
RbUAs2Pd2: optimized geometry, PBE-GGA.

Calculated values
For the formation energy from the elements, the calculation gives -0.580 eV/atom.

Lattice parameters (Å, degrees): 4.3334 4.3334 9.0062 90.00 90.00 120.00
Last column: nearest neighbours and their distance in Å.
Space group P-3m1 (No. 164)
One atom of each set of equivalent atoms:
Rb1 0.0000 0.0000 0.0000 [1 per cell]  6 Pd 3.66, 6 As 3.76
U1 0.0000 0.0000 0.5000 [1 per cell]  6 As 3.02, 6 Pd 3.10
As1 0.3333 0.6667 0.3118 [2 per cell]  3 Pd 2.51
Pd1 0.3333 0.6667 0.7034 [2 per cell]  3 As 2.51

=====

# 13
Re3As12Pd5: optimized geometry, PBE-GGA.

Calculated values
For the formation energy from the elements, the calculation gives 0.036 eV/atom.

Lattice parameters (Å, degrees): 14.6843 14.6843 14.6843 90.00 90.00 90.00
Last column: nearest neighbours and their distance in Å.
Space group Ia-3d (No. 230)
One atom of each set of equivalent atoms:
Re1 0.0000 0.2500 0.1250 [24 per cell]  8 As 2.58-2.74
As1 0.0151 0.0776 0.6543 [96 per cell]  2 Pd 2.42-2.55, 1 Re 2.58, 1 As 2.69
Pd1 0.0000 0.0000 0.0000 [16 per cell]  6 As 2.55
Pd2 0.0000 0.2500 0.3750 [24 per cell]  4 As 2.42

=====

# 14
ReAs2Pd: optimized geometry, PBE-GGA.

Calculated values
For the formation energy from the elements, the calculation gives 0.271 eV/atom. The value obtained for the energy relative to the lowest polymorph listed for this composition is 0 meV per atom.

Lattice parameters (Å, degrees): 5.6303 5.6303 11.1128 90.00 90.00 90.00
Last column: nearest neighbours and their distance in Å.
Space group I-42d (No. 122)
One atom of each set of equivalent atoms:
Re1 0.0000 0.0000 0.0000 [4 per cell]  4 As 2.39
As1 0.2373 0.2500 0.1250 [8 per cell]  2 Re 2.39, 2 Pd 2.47
Pd1 0.0000 0.0000 0.5000 [4 per cell]  4 As 2.47

=====

# 15
ReAsPd: optimized geometry, PBE-GGA.

Calculated values
For the formation energy from the elements, the calculation gives 0.145 eV/atom.

Lattice parameters (Å, degrees): 4.8615 4.8599 8.1747 90.00 90.98 90.00
Last column: nearest neighbours and their distance in Å.
Space group C2/m (No. 12)
One atom of each set of equivalent atoms:
Re1 0.2429 0.0000 0.0576 [4 per cell]  4 Re 2.53-2.69, 1 As 2.68, 1 Pd 2.77
As1 0.2451 0.5000 0.2705 [4 per cell]  5 Pd 2.63-2.72, 1 Re 2.68
Pd1 0.2469 0.0000 0.3962 [4 per cell]  5 As 2.63-2.72, 1 Re 2.77

=====

# 16
ReAs2Pd: optimized geometry, PBE-GGA.

Calculated values
For the formation energy from the elements, the calculation gives 0.397 eV/atom. The value obtained for the energy relative to the lowest polymorph listed for this composition is 125 meV per atom.

Lattice parameters (Å, degrees): 2.9349 2.9349 27.0601 90.00 90.00 120.00
Last column: nearest neighbours and their distance in Å.
Space group R-3m (No. 166, hexagonal axes)
One atom of each set of equivalent atoms:
Re1 0.0000 0.0000 0.0000 [3 per cell]  2 As 2.46
As1 0.0000 0.0000 0.0908 [6 per cell]  1 Re 2.46, 3 Pd 2.66
Pd1 0.0000 0.0000 0.5000 [3 per cell]  6 As 2.66, 6 Pd 2.93

=====

# 17
ReAsPd3: optimized geometry, PBE-GGA.

Calculated values
For the formation energy from the elements, the calculation gives 1.325 eV/atom. The value obtained for the energy relative to the lowest polymorph listed for this composition is 385 meV per atom.

Lattice parameters (Å, degrees): 4.7963 4.7963 4.7963 90.00 90.00 90.00
Last column: nearest neighbours and their distance in Å.
Space group Pm-3m (No. 221)
One atom of each set of equivalent atoms:
Re1 0.0000 0.0000 0.0000 [1 per cell]  6 Pd 2.40
As1 0.5000 0.5000 0.5000 [1 per cell]  12 Pd 3.39
Pd1 0.0000 0.0000 0.5000 [3 per cell]  2 Re 2.40

=====

# 18
ReAs2Pd: optimized geometry, PBE-GGA.

Calculated values
For the formation energy from the elements, the calculation gives 0.275 eV/atom. The value obtained for the energy relative to the lowest polymorph listed for this composition is 4 meV per atom.

Lattice parameters (Å, degrees): 6.3169 6.3169 6.3169 90.00 90.00 90.00
Last column: nearest neighbours and their distance in Å.
Space group Fm-3m (No. 225)
One atom of each set of equivalent atoms:
Re1 0.0000 0.0000 0.0000 [4 per cell]  8 As 2.74
As1 0.2500 0.2500 0.2500 [8 per cell]  4 Re 2.74, 4 Pd 2.74
Pd1 0.0000 0.0000 0.5000 [4 per cell]  8 As 2.74

=====

# 19
ReAsPd3: optimized geometry, PBE-GGA.

Calculated values
For the formation energy from the elements, the calculation gives 0.940 eV/atom. The value obtained for the energy relative to the lowest polymorph listed for this composition is 0 meV per atom.

Lattice parameters (Å, degrees): 4.6140 4.6140 4.6140 90.00 90.00 90.00
Last column: nearest neighbours and their distance in Å.
Space group Pm-3m (No. 221)
One atom of each set of equivalent atoms:
Re1 0.0000 0.0000 0.0000 [1 per cell]  12 Pd 3.26
As1 0.5000 0.5000 0.5000 [1 per cell]  6 Pd 2.31
Pd1 0.0000 0.5000 0.5000 [3 per cell]  2 As 2.31

=====

# 20
ReAsPdSe2: optimized geometry, PBE-GGA.

Calculated values
The value obtained for the energy relative to the lowest polymorph listed for this composition is 0 meV per atom. Its uncorrected formation energy is 0.756 eV per atom.

Lattice parameters (Å, degrees): 4.8774 4.8774 4.8126 90.00 90.00 90.00
Last column: nearest neighbours and their distance in Å.
Space group P4/mmm (No. 123)
One atom of each set of equivalent atoms:
Re1 0.0000 0.0000 0.0000 [1 per cell]  2 As 2.41, 4 Se 2.44
As1 0.0000 0.0000 0.5000 [1 per cell]  2 Re 2.41
Pd1 0.5000 0.5000 0.5000 [1 per cell]  8 Se 3.43, 4 As 3.45
Se1 0.0000 0.5000 0.0000 [2 per cell]  2 Re 2.44

=====

# 21
SrReAsPd2: optimized geometry, PBE-GGA.

Calculated values
For the formation energy from the elements, the calculation gives 2.052 eV/atom.

Lattice parameters (Å, degrees): 4.9764 4.9764 5.6375 90.00 90.00 90.00
Last column: nearest neighbours and their distance in Å.
Space group P4/mmm (No. 123)
One atom of each set of equivalent atoms:
Sr1 0.0000 0.0000 0.0000 [1 per cell]  4 Pd 2.49
Re1 0.0000 0.0000 0.5000 [1 per cell]  2 Sr 2.82
As1 0.5000 0.5000 0.5000 [1 per cell]  4 Re 3.52, 8 Pd 3.76
Pd1 0.0000 0.5000 0.0000 [2 per cell]  2 Sr 2.49

=====

# 22
ReTeAsPd2: optimized geometry, PBE-GGA.

Calculated values
Its uncorrected formation energy is 1.134 eV per atom.

Lattice parameters (Å, degrees): 4.9250 4.9250 4.9844 90.00 90.00 90.00
Last column: nearest neighbours and their distance in Å.
Space group P4/mmm (No. 123)
One atom of each set of equivalent atoms:
Re1 0.0000 0.0000 0.0000 [1 per cell]  4 Pd 2.46, 2 Te 2.49
Te1 0.0000 0.0000 0.5000 [1 per cell]  2 Re 2.49
As1 0.5000 0.5000 0.5000 [1 per cell]  4 Te 3.48, 8 Pd 3.50
Pd1 0.0000 0.5000 0.0000 [2 per cell]  2 Re 2.46

=====

| no. | N(E_F) (states/eV/atom) |
| --- | --- |
| 1 | 0.47 |
| 2 | 0.02 |
| 3 | 0.43 |
| 4 | 0.41 |
| 5 | 0.51 |
| 6 | 0.66 |
| 7 | 1.61 |
| 8 | 0.51 |
| 9 | 1.07 |
| 10 | 0.50 |
| 11 | 0.44 |
| 12 | 1.29 |
| 13 | 0.65 |
| 14 | 0.61 |
| 15 | 0.56 |
| 16 | 1.05 |
| 17 | 1.23 |
| 18 | 0.82 |
| 19 | 0.38 |
| 20 | 1.27 |
| 21 | 0.69 |
| 22 | 1.00 |